Computed, not measured: a relaxed structure of LaRe2Sb at the GGA-PBE level of DFT.

Results
Its uncorrected formation energy is -13 kJ per mole of atoms. The density of states at the Fermi level comes out at 0.432 states/eV per atom.

Cell: 6.266 6.266 6.266 Å, 40.66 40.66 40.66°
Fractional positions:
La 0.000 0.000 0.000
Re 0.211 0.211 0.211
Re 0.523 0.523 0.523
Sb 0.787 0.787 0.787